(1)
VASP calculation (PBE) on a relaxed structure of BaTa2Zn.

a b c (Å): 11.144 11.144 11.144
angles (deg): 15.71 15.71 15.71
Each line ends with the local moment (μB).
Sites, in units of the cell vectors:
Ba: 0.750 0.750 0.750  0.01
Ta: 0.985 0.985 0.985  0.06
Ta: 0.515 0.515 0.515  0.06
Zn: 0.250 0.250 0.250  0.00

Properties
ΔE_f = 897 meV per atom
mass density = 10.601 g cm⁻³
symmetry = No. 166



(2)
VASP calculation (PBE) on a relaxed structure of BaTaZn2.

a b c (Å): 5.375 5.374 3.020
angles (deg): 90.00 90.00 90.00
Sites, in units of the cell vectors:
Ba: 0.500 0.000 0.500
Ta: 0.000 0.500 0.500
Zn: 0.000 0.000 0.000
Zn: 0.500 0.500 0.000

Properties
ΔE to the lowest computed polymorph = 0.2852 eV per atom
ΔE_f = 538 meV per atom
mass density = 8.550 g cm⁻³
symmetry = No. 123



(3)
VASP calculation (PBE) on a relaxed structure of BaTaZn2.

a b c (Å): 4.748 4.748 6.792
angles (deg): 78.12 78.12 42.44
Sites, in units of the cell vectors:
Ba: 0.750 0.750 0.750
Ta: 0.250 0.250 0.250
Zn: 0.986 0.986 0.101
Zn: 0.514 0.514 0.399

Properties
ΔE to the lowest computed polymorph = 0.1775 eV per atom
ΔE_f = 430 meV per atom
mass density = 7.399 g cm⁻³
symmetry = No. 12



Q: The highest mass density belongs to which entry?
A: BaTa2Zn



Q: Which formula does entry 1 have?
A: BaTa2Zn



Q: Which value of ΔE_f does entry 3 give?
A: 430 meV per atom